Li2DyWO6: optimized geometry, PBE with a Hubbard U.

Cell: 5.4454 5.4506 7.9047 Å, 90.00 90.19 90.00°
With the nearest neighbours (Å) after each atom.
Sites, in units of the cell vectors:
O 0.3891 0.9267 0.7292  1 W 1.95, 1 Li 2.02
O 0.8891 0.5733 0.2292  1 W 1.95, 1 Li 2.02
O 0.1265 0.1762 0.0709  1 W 1.98, 1 Li 2.03
O 0.6265 0.3238 0.5709  1 W 1.98, 1 Li 2.03
O 0.8163 0.8600 0.5553  1 W 1.93, 1 Li 2.06
O 0.3735 0.6762 0.4291  1 W 1.98, 1 Li 2.03
O 0.6109 0.0733 0.2708  1 W 1.95, 1 Li 2.02
O 0.1109 0.4267 0.7708  1 W 1.95, 1 Li 2.02
O 0.6837 0.3600 0.9447  1 W 1.93, 1 Li 2.06
O 0.3163 0.6400 0.0553  1 W 1.93, 1 Li 2.06
O 0.8735 0.8238 0.9291  1 W 1.98, 1 Li 2.03
O 0.1837 0.1400 0.4447  1 W 1.93, 1 Li 2.06
W 0.5000 0.0000 0.5000  6 O 1.93-1.98
W 0.0000 0.5000 0.0000  6 O 1.93-1.98
Li 0.0299 0.0205 0.7395  3 O 2.02-2.06
Li 0.9701 0.9795 0.2605  3 O 2.02-2.06
Li 0.4701 0.5205 0.7605  3 O 2.02-2.06
Li 0.5299 0.4795 0.2395  3 O 2.02-2.06
Dy 0.0000 0.5000 0.5000  6 O 2.25-2.32
Dy 0.5000 0.0000 0.0000  6 O 2.25-2.32

Its crystal system is monoclinic. The energy comes out at -135.97 eV per cell.